DFT (PBE) results for BPbS2N after structural relaxation.

POSCAR file:
```
BPbS2N
1.0
5.835 0.000 0.000
0.000 5.835 0.000
0.000 0.000 2.748
B Pb S N
1 1 2 1
Cartesian
0.000 0.000 0.000 B
2.918 2.918 1.374 Pb
0.000 2.918 0.000 S
2.918 0.000 0.000 S
0.000 0.000 1.374 N
```

Properties
Its density is 5.26 g/cm³. The total magnetization comes out at 0.97 μB per formula unit. As for the formation energy without anion corrections: 0.2836 eV/atom. Its space-group type is P4/mmm, No. 123. The calculation puts the energy relative to the lowest polymorph listed for this composition at 0.000 eV/atom.